# SrIrOs2 | the Alexandria database | GGA-PBE | optimized geometry
data_SrIrOs2
_chemical_formula_sum 'Sr1 Ir1 Os2'
_symmetry_space_group_name_H-M 'P 4/m m m'
_symmetry_Int_Tables_number 123
_symmetry_space_group_name_Hall '-P 4 2'
_cell_length_a 5.0193
_cell_length_b 5.0193
_cell_length_c 2.8086
_cell_angle_alpha 90.00
_cell_angle_beta 90.00
_cell_angle_gamma 90.00
loop_
_atom_site_label
_atom_site_type_symbol
_atom_site_fract_x
_atom_site_fract_y
_atom_site_fract_z
_atom_site_occupancy
Sr1 Sr 0.0000 0.0000 0.0000 1
Ir1 Ir 0.5000 0.5000 0.0000 1
Os1 Os 0.0000 0.5000 0.5000 1
# Energy above the lowest structure with this stoichiometry: 695 meV per atom
# Calculated total energy: -28.46 eV per cell
# E_form: 110 kJ per mole of atoms

---

# Sr2IrOs | the Alexandria database | GGA-PBE | optimized geometry
data_Sr2IrOs
_chemical_formula_sum 'Sr4 Ir2 Os2'
_symmetry_space_group_name_H-M 'I m m 2'
_symmetry_Int_Tables_number 44
_cell_length_a 4.3109
_cell_length_b 5.1537
_cell_length_c 9.7714
_cell_angle_alpha 90.00
_cell_angle_beta 90.00
_cell_angle_gamma 90.00
loop_
_symmetry_equiv_pos_as_xyz
'x,y,z'
'-x,-y,z'
'-x,y,z'
'x,-y,z'
'x+1/2,y+1/2,z+1/2'
'-x+1/2,-y+1/2,z+1/2'
'-x+1/2,y+1/2,z+1/2'
'x+1/2,-y+1/2,z+1/2'
loop_
_atom_site_label
_atom_site_type_symbol
_atom_site_fract_x
_atom_site_fract_y
_atom_site_fract_z
_atom_site_occupancy
Sr1 Sr 0.0000 0.0000 0.0000 1
Sr2 Sr 0.0000 0.5000 0.2133 1
Ir1 Ir 0.0000 0.5000 0.8044 1
Os1 Os 0.0000 0.0000 0.4052 1
# Energy above the lowest structure with this stoichiometry: 136 meV per atom
# Calculated total energy: -45.31 eV per cell
# E_form: 19 kJ per mole of atoms

---

Q: What is the energy above the lowest structure with this stoichiometry in the second record?
A: 136 meV per atom